GaCoSbCl2 | GGA-PBE | optimized geometry

Cell lengths 5.214, 5.214, 5.838 Å; angles 90.00, 90.00, 90.00 degrees
Fractional coordinates of all 5 atoms:
Ga1 0.000 0.000 0.000
Co1 0.500 0.500 0.000
Sb1 0.000 0.000 0.500
Cl1 0.000 0.500 0.500
Cl2 0.500 0.000 0.500

Output
DFT total energy   -2.9973 eV per atom
Calculated density   3.4 g/cm3
Crystal system   tetragonal
ΔE_f (raw)   0.59 eV/atom

=====

ScGaCoCl2 | GGA-PBE | optimized geometry

Cell lengths 4.951, 4.951, 5.025 Å; angles 90.00, 90.00, 90.00 degrees
Fractional coordinates of all 5 atoms:
Sc1 0.000 0.000 0.000
Ga1 0.500 0.500 0.500
Co1 0.000 0.000 0.500
Cl1 0.000 0.500 0.000
Cl2 0.500 0.000 0.000

Output
DFT total energy   -4.3225 eV per atom
Calculated density   3.3 g/cm3
Crystal system   tetragonal
ΔE_f (raw)   -0.29 eV/atom

=====

GaCoSe2Cl | GGA-PBE | optimized geometry

Cell lengths 4.679, 4.679, 5.092 Å; angles 90.00, 90.00, 90.00 degrees
Fractional coordinates of all 5 atoms:
Ga1 0.000 0.000 0.000
Co1 0.500 0.500 0.500
Se1 0.000 0.500 0.500
Se2 0.500 0.000 0.500
Cl1 0.500 0.500 0.000

Output
DFT total energy   -3.7695 eV per atom
Calculated density   4.8 g/cm3
Crystal system   tetragonal
ΔE_f (raw)   0.02 eV/atom

=====

Sm4GaCoCl2 | GGA-PBE | optimized geometry

Cell lengths 7.402, 3.901, 7.737 Å; angles 90.00, 109.29, 90.00 degrees
Fractional coordinates of all 8 atoms:
Sm1 0.217 0.000 0.287
Sm2 0.235 0.500 0.708
Sm3 0.765 0.500 0.292
Sm4 0.783 0.000 0.713
Ga1 0.500 0.500 0.500
Co1 0.000 0.000 0.500
Cl1 0.000 0.500 0.000
Cl2 0.500 0.000 0.000

Output
DFT total energy   -4.9660 eV per atom
Calculated density   6.3 g/cm3
Crystal system   monoclinic
ΔE_f (raw)   -0.88 eV/atom

=====

GaCoSn2Cl | GGA-PBE | optimized geometry

Cell lengths 4.929, 4.929, 4.644 Å; angles 90.00, 90.00, 90.00 degrees
Fractional coordinates of all 5 atoms:
Ga1 0.000 0.000 0.000
Co1 0.000 0.000 0.500
Sn1 0.000 0.500 0.500
Sn2 0.500 0.000 0.500
Cl1 0.500 0.500 0.000

Output
DFT total energy   -4.2804 eV per atom
Calculated density   5.9 g/cm3
Crystal system   tetragonal
ΔE_f (raw)   -0.28 eV/atom

=====

Ta2GaCoCl | GGA-PBE | optimized geometry

Cell lengths 4.885, 4.885, 4.191 Å; angles 90.00, 90.00, 90.00 degrees
Fractional coordinates of all 5 atoms:
Ta1 0.000 0.500 0.000
Ta2 0.500 0.000 0.000
Ga1 0.000 0.000 0.000
Co1 0.000 0.000 0.500
Cl1 0.500 0.500 0.500

Output
DFT total energy   -5.6888 eV per atom
Calculated density   8.7 g/cm3
Crystal system   tetragonal
ΔE_f (raw)   1.45 eV/atom

=====

TlGaCo2Cl | GGA-PBE | optimized geometry

Cell lengths 4.186, 4.186, 6.047 Å; angles 90.00, 90.00, 90.00 degrees
Fractional coordinates of all 5 atoms:
Tl1 0.000 0.000 0.000
Ga1 0.500 0.500 0.000
Co1 0.000 0.500 0.500
Co2 0.500 0.000 0.500
Cl1 0.000 0.000 0.500

Output
DFT total energy   -3.5703 eV per atom
Calculated density   6.7 g/cm3
Crystal system   tetragonal
ΔE_f (raw)   0.72 eV/atom

=====

ZnGaCoCl2 | GGA-PBE | optimized geometry

Cell lengths 4.788, 4.788, 4.925 Å; angles 90.00, 90.00, 90.00 degrees
Fractional coordinates of all 5 atoms:
Zn1 0.000 0.000 0.000
Ga1 0.500 0.500 0.500
Co1 0.000 0.000 0.500
Cl1 0.000 0.500 0.000
Cl2 0.500 0.000 0.000

Output
DFT total energy   -2.7208 eV per atom
Calculated density   3.9 g/cm3
Crystal system   tetragonal
ΔE_f (raw)   0.30 eV/atom